Version P
The following is a PBE-GGA calculation of an optimized crystal structure of Hf2Ga2Os, from Alexandria.

- DOS at the Fermi energy: 2.3 states/eV/f.u.

Cell lengths 6.6818, 6.6818, 7.7459 Å; angles 90.00, 90.00, 90.00 degrees
Last column: nearest neighbours and their distance in Å.
Space group P4/mnc (No. 128)
Inequivalent atoms, fractional coordinates:
1 Hf 0.1731 0.3258 0.0000  6 Ga 2.67-2.83, 2 Os 2.97
2 Ga 0.1316 0.6316 0.2500  1 Ga 2.49, 2 Os 2.63, 2 Hf 2.67
3 Os 0.0000 0.0000 0.2136  4 Ga 2.63


Version Q
The following is a PBE-GGA calculation of an optimized crystal structure of Hf2Ga2Os, from Alexandria.

- DOS at the Fermi energy: 1.4 states/eV/f.u.

Cell lengths 6.7332, 6.7332, 3.7777 Å; angles 90.00, 90.00, 90.00 degrees
Last column: nearest neighbours and their distance in Å.
Space group P4/mbm (No. 127)
Inequivalent atoms, fractional coordinates:
1 Hf 0.1736 0.3264 0.0000  6 Ga 2.65-2.80
2 Ga 0.1305 0.6305 0.5000  1 Ga 2.49, 2 Os 2.64, 2 Hf 2.65
3 Os 0.0000 0.0000 0.5000  4 Ga 2.64


Stability, highest: version P


Version P
The following is a PBE-GGA calculation of an optimized crystal structure of HfGa2Os2, from Alexandria.

- DOS at the Fermi energy: 0.0 states/eV/f.u.

Cell lengths 3.4902, 3.4902, 13.5778 Å; angles 90.00, 90.00, 90.00 degrees
Last column: nearest neighbours and their distance in Å.
Space group I4/mmm (No. 139)
Inequivalent atoms, fractional coordinates:
1 Hf 0.0000 0.0000 0.0000  8 Os 2.86
2 Ga 0.0000 0.5000 0.2500  4 Ga 2.47, 4 Os 2.61
3 Os 0.0000 0.0000 0.3930  4 Ga 2.61, 4 Hf 2.86, 1 Os 2.91


Version Q
The following is a PBE-GGA calculation of an optimized crystal structure of HfGa2Os2, from Alexandria.

- DOS at the Fermi energy: 3.0 states/eV/f.u.

Cell lengths 7.2678, 7.2678, 2.9722 Å; angles 90.00, 90.00, 90.00 degrees
Last column: nearest neighbours and their distance in Å.
Space group P4/mbm (No. 127)
Inequivalent atoms, fractional coordinates:
1 Hf 0.0000 0.0000 0.0000  4 Ga 2.87, 2 Hf 2.97, 8 Os 3.07
2 Ga 0.1253 0.3747 0.0000  6 Os 2.55-2.65, 1 Ga 2.57
3 Os 0.1734 0.6734 0.5000  6 Ga 2.55-2.65


Version R
The following is a PBE-GGA calculation of an optimized crystal structure of HfGa2Os2, from Alexandria.

- DOS at the Fermi energy: 2.2 states/eV/f.u.

Cell lengths 7.2333, 7.2333, 3.0717 Å; angles 90.00, 90.00, 90.00 degrees
Last column: nearest neighbours and their distance in Å.
Space group P4/mbm (No. 127)
Inequivalent atoms, fractional coordinates:
1 Hf 0.0000 0.0000 0.0000  4 Os 2.79, 2 Hf 3.07
2 Ga 0.1567 0.3433 0.5000  6 Os 2.58-2.65
3 Os 0.1408 0.6408 0.0000  6 Ga 2.58-2.65, 2 Hf 2.79, 1 Os 2.88


Stability, highest: version Q


Version P
The following is a PBE-GGA calculation of an optimized crystal structure of HfGa3Os, from Alexandria.

- DOS at the Fermi energy: 6.3 states/eV/f.u.

Cell lengths 4.7360, 4.7360, 4.7360 Å; angles 90.00, 90.00, 90.00 degrees
Last column: nearest neighbours and their distance in Å.
Space group Pm-3m (No. 221)
Inequivalent atoms, fractional coordinates:
1 Hf 0.0000 0.0000 0.0000  12 Ga 3.35
2 Ga 0.0000 0.5000 0.5000  2 Os 2.37
3 Os 0.5000 0.5000 0.5000  6 Ga 2.37


Version Q
The following is a PBE-GGA calculation of an optimized crystal structure of HfGa3Os, from Alexandria.

- DOS at the Fermi energy: 8.7 states/eV/f.u.

Cell lengths 4.9615, 4.9615, 4.9615 Å; angles 90.00, 90.00, 90.00 degrees
Last column: nearest neighbours and their distance in Å.
Space group Pm-3m (No. 221)
Inequivalent atoms, fractional coordinates:
1 Hf 0.0000 0.0000 0.0000  6 Ga 2.48
2 Ga 0.0000 0.0000 0.5000  2 Hf 2.48
3 Os 0.5000 0.5000 0.5000  12 Ga 3.51


Stability, highest: version P


Version P
The following is a PBE-GGA calculation of an optimized crystal structure of Hf2GaOs2, from Alexandria.

- DOS at the Fermi energy: 5.3 states/eV/f.u.

Cell lengths 7.4994, 7.4994, 3.2484 Å; angles 90.00, 90.00, 90.00 degrees
Last column: nearest neighbours and their distance in Å.
Space group P4/mbm (No. 127)
Inequivalent atoms, fractional coordinates:
1 Hf 0.1569 0.3431 0.0000  6 Os 2.67-2.78
2 Ga 0.0000 0.0000 0.5000  4 Os 2.89
3 Os 0.1428 0.6428 0.5000  6 Hf 2.67-2.78, 2 Ga 2.89


Version Q
The following is a PBE-GGA calculation of an optimized crystal structure of Hf2GaOs2, from Alexandria.

- DOS at the Fermi energy: 5.2 states/eV/f.u.

Cell lengths 7.7689, 7.7689, 3.1139 Å; angles 90.00, 90.00, 90.00 degrees
Last column: nearest neighbours and their distance in Å.
Space group P4/mbm (No. 127)
Inequivalent atoms, fractional coordinates:
1 Hf 0.1482 0.3518 0.0000  6 Os 2.75-2.76, 2 Ga 2.97
2 Ga 0.0000 0.0000 0.0000  4 Hf 2.97, 2 Ga 3.11
3 Os 0.1455 0.6455 0.5000  6 Hf 2.75-2.76


Version R
The following is a PBE-GGA calculation of an optimized crystal structure of Hf2GaOs2, from Alexandria.

- DOS at the Fermi energy: 4.3 states/eV/f.u.

Cell lengths 3.5586, 3.5586, 15.4550 Å; angles 90.00, 90.00, 90.00 degrees
Last column: nearest neighbours and their distance in Å.
Space group I4/mmm (No. 139)
Inequivalent atoms, fractional coordinates:
1 Hf 0.0000 0.0000 0.1064  4 Os 2.85, 4 Ga 3.01
2 Ga 0.0000 0.0000 0.5000  8 Hf 3.01
3 Os 0.0000 0.5000 0.2500  4 Os 2.52


Stability, highest: version P


Version P
The following is a PBE-GGA calculation of an optimized crystal structure of HfGa2Os, from Alexandria.

- DOS at the Fermi energy: 2.1 states/eV/f.u.

Cell lengths 3.8365, 3.8365, 19.5151 Å; angles 90.00, 90.00, 90.00 degrees
Last column: nearest neighbours and their distance in Å.
Space group I-42d (No. 122)
Inequivalent atoms, fractional coordinates:
1 Hf 0.0000 0.0000 0.0000  4 Os 2.71, 4 Ga 2.80
2 Ga 0.2421 0.2500 0.6250  4 Ga 2.67-2.76, 2 Os 2.78, 2 Hf 2.80
3 Os 0.0000 0.0000 0.5000  4 Hf 2.71, 4 Ga 2.78


Version Q
The following is a PBE-GGA calculation of an optimized crystal structure of HfGa2Os, from Alexandria.

- DOS at the Fermi energy: 1.2 states/eV/f.u.

Cell lengths 6.3347, 6.3347, 6.3347 Å; angles 90.00, 90.00, 90.00 degrees
Last column: nearest neighbours and their distance in Å.
Space group Fm-3m (No. 225)
Inequivalent atoms, fractional coordinates:
1 Hf 0.0000 0.0000 0.0000  8 Ga 2.74
2 Ga 0.2500 0.2500 0.2500  4 Hf 2.74, 4 Os 2.74
3 Os 0.0000 0.0000 0.5000  8 Ga 2.74


Stability, highest: version Q


Version P
The following is a PBE-GGA calculation of an optimized crystal structure of Hf3GaP, from Alexandria.

- DOS at the Fermi energy: 3.2 states/eV/f.u.

Cell lengths 4.7829, 4.7829, 4.7829 Å; angles 90.00, 90.00, 90.00 degrees
Last column: nearest neighbours and their distance in Å.
Space group Pm-3m (No. 221)
Inequivalent atoms, fractional coordinates:
1 Hf 0.0000 0.0000 0.5000  2 P 2.39
2 Ga 0.5000 0.5000 0.5000  12 Hf 3.38
3 P 0.0000 0.0000 0.0000  6 Hf 2.39


Version Q
The following is a PBE-GGA calculation of an optimized crystal structure of Hf3GaP, from Alexandria.

- DOS at the Fermi energy: 2.5 states/eV/f.u.

Cell lengths 5.4144, 4.8645, 7.5159 Å; angles 90.00, 90.00, 90.00 degrees
Last column: nearest neighbours and their distance in Å.
Space group Pmma (No. 51)
Inequivalent atoms, fractional coordinates:
1 Hf 0.0000 0.0000 0.0000  2 P 2.67, 2 Hf 2.71, 4 Ga 2.96
2 Hf 0.2500 0.0000 0.3592  3 P 2.52-2.74
3 Hf 0.2500 0.5000 0.7328  2 P 2.45
4 Ga 0.2500 0.5000 0.1341  9 Hf 2.89-3.02
5 P 0.2500 0.0000 0.6944  7 Hf 2.45-2.74


Stability, highest: version Q


Version P
The following is a PBE-GGA calculation of an optimized crystal structure of Hf4GaP, from Alexandria.

- DOS at the Fermi energy: 2.9 states/eV/f.u.

Cell lengths 6.5412, 6.5412, 5.2553 Å; angles 90.00, 90.00, 90.00 degrees
Last column: nearest neighbours and their distance in Å.
Space group P4/mcc (No. 124)
Inequivalent atoms, fractional coordinates:
1 Hf 0.1502 0.3374 0.0000  2 P 2.75, 2 Ga 2.85, 1 Hf 2.90
2 Ga 0.5000 0.5000 0.2500  2 Ga 2.63, 8 Hf 2.85
3 P 0.0000 0.0000 0.2500  2 P 2.63, 8 Hf 2.75


Version Q
The following is a PBE-GGA calculation of an optimized crystal structure of Hf4GaP, from Alexandria.

- DOS at the Fermi energy: 4.2 states/eV/f.u.

Cell lengths 6.3029, 6.3581, 6.2702 Å; angles 90.00, 92.27, 90.00 degrees
Last column: nearest neighbours and their distance in Å.
Space group P2_1/c (No. 14)
Inequivalent atoms, fractional coordinates:
1 Hf 0.1325 0.1478 0.1555  2 P 2.53-2.57, 1 Ga 2.72
2 Hf 0.3471 0.6415 0.1254  1 P 2.47, 2 Ga 2.61-2.66
3 Ga 0.5000 0.0000 0.0000  6 Hf 2.61-2.72
4 P 0.0000 0.0000 0.5000  6 Hf 2.47-2.57


Stability, highest: version P


Version P
The following is a PBE-GGA calculation of an optimized crystal structure of Hf2GaPb2, from Alexandria.

- DOS at the Fermi energy: 4.0 states/eV/f.u.

Cell lengths 7.9086, 7.9086, 3.9056 Å; angles 90.00, 90.00, 90.00 degrees
Last column: nearest neighbours and their distance in Å.
Space group P4/mbm (No. 127)
Inequivalent atoms, fractional coordinates:
1 Hf 0.1398 0.3602 0.0000  6 Pb 2.98-3.07, 1 Hf 3.13
2 Ga 0.0000 0.0000 0.5000  4 Pb 2.98
3 Pb 0.1591 0.6591 0.5000  2 Ga 2.98, 6 Hf 2.98-3.07


Version Q
The following is a PBE-GGA calculation of an optimized crystal structure of Hf2GaPb2, from Alexandria.

- DOS at the Fermi energy: 2.4 states/eV/f.u.

Cell lengths 7.2483, 7.2483, 4.5220 Å; angles 90.00, 90.00, 90.00 degrees
Last column: nearest neighbours and their distance in Å.
Space group P4/mbm (No. 127)
Inequivalent atoms, fractional coordinates:
1 Hf 0.1549 0.3451 0.0000  2 Ga 2.74, 2 Pb 2.96
2 Ga 0.0000 0.0000 0.0000  4 Hf 2.74
3 Pb 0.1593 0.6593 0.5000  6 Hf 2.96-3.21, 1 Pb 3.27


Stability, highest: version Q


Version P
The following is a PBE-GGA calculation of an optimized crystal structure of HfGa3Pd, from Alexandria.

- DOS at the Fermi energy: 2.5 states/eV/f.u.

Cell lengths 4.2064, 6.4479, 6.6348 Å; angles 90.00, 90.00, 90.00 degrees
Last column: nearest neighbours and their distance in Å.
Space group Pmmn (No. 59, origin choice 2)
Inequivalent atoms, fractional coordinates:
1 Hf 0.2500 0.2500 0.1931  8 Ga 2.81-3.01, 2 Pd 2.94
2 Ga 0.2500 0.0376 0.7895  3 Pd 2.59-2.85, 2 Ga 2.69-2.74, 2 Hf 2.81
3 Ga 0.2500 0.7500 0.4950  1 Pd 2.52, 2 Ga 2.69
4 Pd 0.2500 0.7500 0.1156  5 Ga 2.52-2.59


Version Q
The following is a PBE-GGA calculation of an optimized crystal structure of HfGa3Pd, from Alexandria.

- DOS at the Fermi energy: 2.9 states/eV/f.u.

Cell lengths 4.7158, 4.7158, 4.7158 Å; angles 90.00, 90.00, 90.00 degrees
Last column: nearest neighbours and their distance in Å.
Space group Pm-3m (No. 221)
Inequivalent atoms, fractional coordinates:
1 Hf 0.0000 0.0000 0.0000  12 Ga 3.33
2 Ga 0.0000 0.5000 0.5000  2 Pd 2.36
3 Pd 0.5000 0.5000 0.5000  6 Ga 2.36


Version R
The following is a PBE-GGA calculation of an optimized crystal structure of HfGa3Pd, from Alexandria.

- DOS at the Fermi energy: 2.9 states/eV/f.u.

Cell lengths 5.1078, 5.1078, 5.1078 Å; angles 90.00, 90.00, 90.00 degrees
Last column: nearest neighbours and their distance in Å.
Space group Pm-3m (No. 221)
Inequivalent atoms, fractional coordinates:
1 Hf 0.0000 0.0000 0.0000  6 Ga 2.55
2 Ga 0.0000 0.0000 0.5000  2 Hf 2.55
3 Pd 0.5000 0.5000 0.5000  12 Ga 3.61


Stability, highest: version P


Version P
The following is a PBE-GGA calculation of an optimized crystal structure of Hf4GaPd, from Alexandria.

- DOS at the Fermi energy: 6.4 states/eV/f.u.

Cell lengths 6.6605, 6.6605, 5.3633 Å; angles 90.00, 90.00, 90.00 degrees
Last column: nearest neighbours and their distance in Å.
Space group P4/mcc (No. 124)
Inequivalent atoms, fractional coordinates:
1 Hf 0.1570 0.3429 0.0000  2 Ga 2.85, 2 Pd 2.85, 1 Hf 2.96
2 Ga 0.0000 0.0000 0.2500  2 Ga 2.68, 8 Hf 2.85
3 Pd 0.5000 0.5000 0.2500  2 Pd 2.68, 8 Hf 2.85


Version Q
The following is a PBE-GGA calculation of an optimized crystal structure of Hf4GaPd, from Alexandria.

- DOS at the Fermi energy: 5.5 states/eV/f.u.

Cell lengths 6.7059, 6.7059, 5.2795 Å; angles 90.00, 90.00, 90.00 degrees
Last column: nearest neighbours and their distance in Å.
Space group I422 (No. 97)
Inequivalent atoms, fractional coordinates:
1 Hf 0.1553 0.3447 0.2500  2 Pd 2.86, 2 Ga 2.86, 3 Hf 2.95-3.19
2 Ga 0.0000 0.0000 0.0000  2 Pd 2.64, 8 Hf 2.86
3 Pd 0.0000 0.0000 0.5000  2 Ga 2.64, 8 Hf 2.86


Stability, highest: version P